1.
A relaxed Ac3La3Sn4 crystal, computed with GGA-PBE.

Energy relative to the elements in meV per atom: -668

a b c (Å): 4.6208 8.7179 8.7179
angles (deg): 89.60 90.00 90.00
With the nearest neighbours (Å) after each atom.
Element x y z (fractional)
Ac: 0.0000 0.4988 0.0003  4 Sn 3.38-3.49
Ac: 0.5000 0.1699 0.8301  6 Sn 3.48-3.53
Ac: 0.0000 0.9997 0.5012  4 Sn 3.38-3.49
Sn: 0.0000 0.8676 0.8765  1 Sn 3.17, 4 Ac 3.38-3.53, 4 La 3.41-3.47
Sn: 0.0000 0.6268 0.3732  1 Sn 3.01
Sn: 0.0000 0.3815 0.6185  1 Sn 3.01
Sn: 0.0000 0.1235 0.1324  1 Sn 3.17, 4 Ac 3.38-3.53, 4 La 3.41-3.47
La: 0.5000 0.8293 0.1707  6 Sn 3.40-3.47
La: 0.5000 0.3317 0.3288  6 Sn 3.41-3.48
La: 0.5000 0.6712 0.6683  6 Sn 3.41-3.48


2.
A relaxed KCd2Rh crystal, computed with GGA-PBE.

Energy relative to the elements in meV per atom: 125
Distance to the lowest polymorph of the same formula in eV per atom: 0.103

a b c (Å): 4.7536 4.7536 7.1423
angles (deg): 81.70 81.70 41.51
With the nearest neighbours (Å) after each atom.
Element x y z (fractional)
Cd: 0.9771 0.9771 0.0866  3 Rh 2.75-2.85, 2 Cd 2.96
Cd: 0.5229 0.5229 0.4134  3 Rh 2.75-2.85, 2 Cd 2.96
K: 0.7500 0.7500 0.7500  2 K 3.37, 6 Cd 3.37-3.56
Rh: 0.2500 0.2500 0.2500  6 Cd 2.75-2.85


3.
A relaxed Cu3OF5 crystal, computed with GGA-PBE.

Distance to the lowest polymorph of the same formula in eV per atom: 0.017
ΔE_f (raw) in eV per atom: -1.281

a b c (Å): 7.7233 4.6886 5.7231
angles (deg): 84.34 92.15 89.83
With the nearest neighbours (Å) after each atom.
Element x y z (fractional)
F: 0.8911 0.2752 0.1599  2 Cu 1.94-2.03
F: 0.7585 0.7935 0.9490  2 Cu 1.91-1.92
F: 0.5748 0.2065 0.3844  2 Cu 1.91-1.92
F: 0.1198 0.7203 0.8040  2 Cu 1.92-1.98
F: 0.7745 0.6655 0.4443  2 Cu 1.92-1.99
F: 0.4422 0.7248 0.1734  2 Cu 1.94-2.03
F: 0.2449 0.2204 0.0491  3 Cu 1.99-2.16
F: 0.5588 0.3345 0.8890  2 Cu 1.92-1.99
F: 0.2135 0.2797 0.5293  2 Cu 1.92-1.98
F: 0.0884 0.7796 0.2843  3 Cu 1.99-2.16
O: 0.8891 0.1746 0.6913  3 Cu 1.86-1.91
O: 0.4442 0.8254 0.6421  3 Cu 1.86-1.91
Cu: 0.0041 0.0100 0.9737  1 O 1.91, 3 F 1.94-2.07
Cu: 0.6667 0.0000 0.6667  2 F 1.91, 2 O 1.91
Cu: 0.9899 0.4606 0.4924  1 O 1.86, 3 F 1.92-1.99
Cu: 0.6667 0.5000 0.1667  6 F 1.92-2.03
Cu: 0.3292 0.9900 0.3596  1 O 1.91, 3 F 1.94-2.07
Cu: 0.3435 0.5394 0.8410  1 O 1.86, 3 F 1.92-1.99


4.
A relaxed Ac16Ir5Os3 crystal, computed with GGA-PBE.

Energy relative to the elements in meV per atom: -378

a b c (Å): 8.7246 8.7246 13.9031
angles (deg): 90.03 90.03 60.03
With the nearest neighbours (Å) after each atom.
Element x y z (fractional)
Ac: 0.9983 0.9983 0.1750  2 Os 2.94, 1 Ir 2.98
Ac: 0.6697 0.1630 0.9027  1 Os 2.97, 2 Ir 3.00-3.02
Ac: 0.5149 0.5149 0.6608  3 Ir 2.98-2.99
Ac: 0.9990 0.9990 0.6750  1 Os 2.93, 2 Ir 2.97
Ac: 0.1630 0.6697 0.9027  1 Os 2.97, 2 Ir 3.00-3.02
Ac: 0.9715 0.5171 0.6603  1 Os 2.97, 2 Ir 3.00-3.02
Ac: 0.8326 0.3288 0.4021  1 Os 2.96, 2 Ir 2.99-3.03
Ac: 0.5171 0.9715 0.6603  1 Os 2.97, 2 Ir 3.00-3.02
Ac: 0.3353 0.3353 0.3983  2 Os 2.95, 1 Ir 2.98
Ac: 0.8347 0.8347 0.4009  2 Os 2.97, 1 Ir 3.06
Ac: 0.0288 0.4876 0.1616  1 Os 2.96, 2 Ir 2.99-3.03
Ac: 0.4876 0.0288 0.1616  1 Os 2.96, 2 Ir 2.99-3.03
Ac: 0.6694 0.6694 0.8986  1 Os 2.94, 2 Ir 2.98
Ac: 0.1649 0.1649 0.9039  3 Ir 2.99
Ac: 0.4857 0.4857 0.1617  2 Os 2.97, 1 Ir 3.06
Ac: 0.3288 0.8326 0.4021  1 Os 2.96, 2 Ir 2.99-3.03
Ir: 0.1667 0.1667 0.2863  6 Ac 2.98-2.99
Ir: 0.8340 0.3340 0.7865  6 Ac 2.97-3.00
Ir: 0.6649 0.6649 0.5206  6 Ac 2.99-3.06
Ir: 0.3340 0.8340 0.7865  6 Ac 2.97-3.00
Ir: 0.3318 0.3318 0.0190  6 Ac 2.99-3.06
Os: 0.1667 0.6667 0.2861  6 Ac 2.94-2.97
Os: 0.8341 0.8341 0.7860  6 Ac 2.93-2.97
Os: 0.6667 0.1667 0.2861  6 Ac 2.94-2.97


5.
A relaxed CaDyEr2Au4 crystal, computed with GGA-PBE.

Energy relative to the elements in meV per atom: -851

a b c (Å): 5.0616 5.0616 8.8265
angles (deg): 73.34 73.34 60.00
With the nearest neighbours (Å) after each atom.
Element x y z (fractional)
Au: 0.8702 0.8702 0.3893  4 Er 3.04-3.16, 3 Dy 3.06, 1 Ca 3.24
Au: 0.1298 0.1298 0.6107  4 Er 3.04-3.16, 3 Dy 3.06, 1 Ca 3.24
Au: 0.3786 0.3786 0.8641  1 Dy 3.03, 4 Er 3.06-3.17, 3 Ca 3.13
Au: 0.6214 0.6214 0.1359  1 Dy 3.03, 4 Er 3.06-3.17, 3 Ca 3.13
Dy: 0.5000 0.5000 0.5000  8 Au 3.03-3.06
Er: 0.2516 0.2516 0.2452  8 Au 3.04-3.17
Er: 0.7484 0.7484 0.7548  8 Au 3.04-3.17
Ca: 0.0000 0.0000 0.0000  8 Au 3.13-3.24


6.
A relaxed BeFeOs crystal, computed with GGA-PBE.

Energy relative to the elements in meV per atom: -109
Distance to the lowest polymorph of the same formula in eV per atom: 0.000

a b c (Å): 2.7240 6.1337 4.8500
angles (deg): 65.32 106.30 77.21
With the nearest neighbours (Å) after each atom.
Element x y z (fractional)
Os: 0.6217 0.7570 0.3252  4 Be 2.46-2.47, 3 Fe 2.49-2.62, 4 Os 2.59-2.72
Os: 0.7619 0.9292 0.7776  4 Be 2.46-2.47, 3 Fe 2.49-2.62, 4 Os 2.59-2.72
Be: 0.9082 0.1220 0.2625  4 Fe 2.29-2.31, 1 Be 2.35, 4 Os 2.46-2.47
Be: 0.4756 0.5643 0.8402  4 Fe 2.29-2.31, 1 Be 2.35, 4 Os 2.46-2.47
Fe: 0.2775 0.4190 0.2988  4 Be 2.29-2.31, 2 Fe 2.45, 2 Os 2.49
Fe: 0.1062 0.2673 0.8039  4 Be 2.29-2.31, 2 Fe 2.45, 2 Os 2.49


7.
A relaxed Pm2SnIr2 crystal, computed with GGA-PBE.

Energy relative to the elements in meV per atom: -740
Distance to the lowest polymorph of the same formula in eV per atom: 0.035

a b c (Å): 4.4199 5.9165 5.7283
angles (deg): 121.09 112.69 90.00
With the nearest neighbours (Å) after each atom.
Element x y z (fractional)
Ir: 0.5000 0.2813 0.0000  1 Ir 2.59, 2 Sn 2.77
Ir: 0.5000 0.7187 0.0000  1 Ir 2.59, 2 Sn 2.77
Pm: 0.2053 0.7053 0.4106  6 Ir 3.07-3.13, 2 Sn 3.40
Pm: 0.7947 0.2947 0.5894  6 Ir 3.07-3.13, 2 Sn 3.40
Sn: 0.0000 0.0000 0.0000  4 Ir 2.77


8.
A relaxed Nd4Sm4Er3 crystal, computed with GGA-PBE.

Energy relative to the elements in meV per atom: 37
Distance to the lowest polymorph of the same formula in eV per atom: 0.000

a b c (Å): 3.6191 5.7674 18.3213
angles (deg): 99.10 101.43 90.00
With the nearest neighbours (Å) after each atom.
Element x y z (fractional)
Er: 0.7389 0.3698 0.7393  4 Sm 3.54-3.55, 6 Nd 3.61-3.63, 2 Er 3.62
Er: 0.2610 0.6302 0.2607  4 Sm 3.54-3.55, 6 Nd 3.61-3.63, 2 Er 3.62
Er: 0.0000 0.0000 0.0000  2 Er 3.62, 8 Sm 3.75, 4 Nd 3.86
Sm: 0.6224 0.8117 0.6231  2 Er 3.54, 8 Nd 3.57-3.74, 2 Sm 3.62
Sm: 0.5888 0.5440 0.0885  1 Sm 3.14, 2 Nd 3.42
Sm: 0.4112 0.4560 0.9114  1 Sm 3.14, 2 Nd 3.42
Sm: 0.3776 0.1884 0.3769  2 Er 3.54, 8 Nd 3.57-3.74, 2 Sm 3.62
Nd: 0.3074 0.9039 0.8078  4 Sm 3.42-3.74, 4 Er 3.61-3.62, 2 Nd 3.62
Nd: 0.6925 0.0961 0.1922  4 Sm 3.42-3.74, 4 Er 3.61-3.62, 2 Nd 3.62
Nd: 0.9393 0.7191 0.4386  6 Sm 3.57-3.74, 4 Nd 3.61-3.62, 2 Er 3.63
Nd: 0.0608 0.2809 0.5615  6 Sm 3.57-3.74, 4 Nd 3.61-3.62, 2 Er 3.63